{
  "formula": "LaSbAs2",
  "functional": "PBEsol",
  "state": "relaxed",
  "lattice_angstrom": [[4.296, 0.000, 0.000], [0.000, 4.076, 0.000], [-1.790, 0.000, 5.943]],
  "species": ["La", "Sb", "As", "As"],
  "frac_coords": [[0.000, 0.000, 0.000], [0.500, 0.000, 0.500], [0.355, 0.500, 0.792], [0.645, 0.500, 0.208]],
  "energy_ev_per_atom": -5.680,
  "formation_energy_uncorrected_mev_per_atom": -650.5
}